The following is a PBE-GGA calculation of an optimized crystal structure of Ac2La12Zn7, from the Alexandria database.

Calculated values
ΔE_f, eV/atom: -0.15
Density, g/cm3: 6.49

abc: 4.9118 12.4554 12.4553
angles: 120.00 90.00 90.00
Element x y z (fractional)
Ac  0.5000  0.0000  0.0000
Ac  0.0000  0.6667  0.3333
La  0.5000  0.8779  0.6097
La  0.5000  0.7318  0.1221
La  0.5000  0.3903  0.2682
La  0.5000  0.2347  0.7908
La  0.5000  0.5561  0.7653
La  0.5000  0.2092  0.4439
La  0.0000  0.0569  0.5533
La  0.0000  0.4964  0.9431
La  0.0000  0.4467  0.5036
La  0.0000  0.7742  0.7433
La  0.0000  0.9691  0.2258
La  0.0000  0.2567  0.0309
Zn  0.0000  0.3333  0.6667
Zn  0.0000  0.0325  0.7854
Zn  0.0000  0.7529  0.9675
Zn  0.0000  0.2146  0.2471
Zn  0.5000  0.6125  0.5380
Zn  0.5000  0.9255  0.3875
Zn  0.5000  0.4620  0.0745